# SmPu2Se4

An optimized crystal structure of SmPu2Se4 (PBE-GGA, the Alexandria database).

## Properties
Its total energy is -58.6 eV/f.u. For the density, the calculation gives 8.23 Mg/m³. For the uncorrected formation energy, the calculation gives -1613 meV/atom. As for the space group: Cmcm.

Geometry as CIF:
```
data_SmPu2Se4
_space_group_name_H-M_alt 'P 1'
_space_group_IT_number 1
_space_group_name_Hall 'P 1'
_cell_length_a 7.110
_cell_length_b 7.110
_cell_length_c 13.926
_cell_angle_alpha 90.00
_cell_angle_beta 90.00
_cell_angle_gamma 146.83
loop_
_atom_site_label
_atom_site_fract_x
_atom_site_fract_y
_atom_site_fract_z
Sm1 0.120 0.880 0.750
Sm2 0.880 0.120 0.250
Pu1 0.367 0.633 0.567
Pu2 0.367 0.633 0.933
Pu3 0.633 0.367 0.067
Pu4 0.633 0.367 0.433
Se1 0.000 0.000 0.000
Se2 0.000 0.000 0.500
Se3 0.276 0.724 0.124
Se4 0.276 0.724 0.376
Se5 0.466 0.534 0.750
Se6 0.534 0.466 0.250
Se7 0.724 0.276 0.624
Se8 0.724 0.276 0.876
```